No. 1
DFT (PBE) results for a relaxed SrHoAgPb crystal.

## Properties
Energy of formation in eV per formula unit: -1.5

a b c (Å): 5.4619 5.4619 5.4619
angles (deg): 60.00 60.00 60.00
Last column: nearest neighbours and their distance in Å.
Fractional coordinates of all 4 atoms:
Ho 0.5000 0.5000 0.5000  4 Ag 3.34, 4 Pb 3.34
Sr 0.0000 0.0000 0.0000  4 Pb 3.34, 4 Ag 3.34
Pb 0.7500 0.7500 0.7500  4 Ho 3.34, 4 Sr 3.34
Ag 0.2500 0.2500 0.2500  4 Ho 3.34, 4 Sr 3.34

---

No. 2
DFT (PBE) results for a relaxed TbHoAgPb crystal.

## Properties
Energy of formation in eV per formula unit: -1.6

a b c (Å): 5.2813 5.2813 5.2813
angles (deg): 60.00 60.00 60.00
Last column: nearest neighbours and their distance in Å.
Fractional coordinates of all 4 atoms:
Ag 0.2500 0.2500 0.2500  4 Ho 3.23, 4 Tb 3.23
Pb 0.7500 0.7500 0.7500  4 Ho 3.23, 4 Tb 3.23
Tb 0.0000 0.0000 0.0000  4 Ag 3.23, 4 Pb 3.23
Ho 0.5000 0.5000 0.5000  4 Pb 3.23, 4 Ag 3.23

---

No. 3
DFT (PBE) results for a relaxed HoAgTe4Pb2 crystal.

## Properties
Raw formation energy in meV/atom: -593

a b c (Å): 4.4704 7.8632 7.7530
angles (deg): 70.32 90.00 90.00
Last column: nearest neighbours and their distance in Å.
Fractional coordinates of all 8 atoms:
Te 0.0000 0.7249 0.7600  2 Ag 3.06, 1 Ho 3.10, 3 Pb 3.29
Te 0.0000 0.2751 0.2400  2 Ag 3.06, 1 Ho 3.10, 3 Pb 3.29
Ag 0.5000 0.5000 0.0000  6 Te 3.06-3.14
Ho 0.0000 0.5000 0.5000  6 Te 3.09-3.10
Pb 0.5000 0.0000 0.5000  6 Te 3.25-3.29
Te 0.5000 0.7331 0.2583  2 Ho 3.09, 1 Ag 3.14, 3 Pb 3.25
Pb 0.0000 0.0000 0.0000  6 Te 3.25-3.29
Te 0.5000 0.2669 0.7417  2 Ho 3.09, 1 Ag 3.14, 3 Pb 3.25

---

No. 4
DFT (PBE) results for a relaxed HoAgTe3Pb crystal.

## Properties
Raw formation energy in meV/atom: -719

a b c (Å): 4.3672 8.8965 9.9784
angles (deg): 104.43 90.00 90.00
Last column: nearest neighbours and their distance in Å.
Fractional coordinates of all 12 atoms:
Te 0.2500 0.5714 0.8491  3 Ho 3.08-3.13, 2 Pb 3.33
Te 0.7500 0.4286 0.1509  3 Ho 3.08-3.13, 2 Pb 3.33
Ho 0.2500 0.6784 0.1722  6 Te 3.06-3.13
Te 0.7500 0.9062 0.1280  1 Ag 2.83, 2 Ho 3.08
Ag 0.2500 0.0828 0.5860  4 Te 2.83-2.98, 2 Ag 2.94
Ho 0.7500 0.3216 0.8278  6 Te 3.06-3.13
Pb 0.7500 0.8050 0.7494  7 Te 3.33-3.66, 1 Ag 3.72
Te 0.7500 0.2620 0.5125  3 Ag 2.90-2.98, 1 Ho 3.06
Pb 0.2500 0.1950 0.2506  7 Te 3.33-3.66, 1 Ag 3.72
Te 0.2500 0.0938 0.8720  1 Ag 2.83, 2 Ho 3.08
Ag 0.7500 0.9172 0.4140  4 Te 2.83-2.98, 2 Ag 2.94
Te 0.2500 0.7380 0.4875  3 Ag 2.90-2.98, 1 Ho 3.06

---

No. 5
DFT (PBE) results for a relaxed Ho3AgTe8Pb3 crystal.

## Properties
Raw formation energy in meV/atom: -753

a b c (Å): 8.8410 8.8378 9.0805
angles (deg): 119.11 90.00 120.01
Last column: nearest neighbours and their distance in Å.
Fractional coordinates of all 15 atoms:
Te 0.2451 0.4903 0.7300  2 Ho 3.07, 1 Ag 3.10, 2 Pb 3.27
Ho 0.5000 0.0000 0.5000  6 Te 3.07-3.10
Ho 0.5000 0.5000 0.5000  6 Te 3.07-3.10
Te 0.2609 0.0152 0.2694  2 Ho 3.07, 1 Ag 3.11, 2 Pb 3.27
Pb 0.5000 0.5000 0.0000  6 Te 3.24-3.27
Te 0.7549 0.5097 0.2700  2 Ho 3.07, 1 Ag 3.10, 2 Pb 3.27
Ag 0.0000 0.0000 0.5000  6 Te 3.10-3.11
Te 0.2457 0.9848 0.7306  2 Ho 3.07, 1 Ag 3.11, 2 Pb 3.27
Te 0.7449 0.4898 0.7347  3 Ho 3.10, 3 Pb 3.24
Te 0.7543 0.0152 0.2694  2 Ho 3.07, 1 Ag 3.11, 2 Pb 3.27
Ho 0.0000 0.5000 0.5000  6 Te 3.07-3.10
Te 0.7391 0.9848 0.7306  2 Ho 3.07, 1 Ag 3.11, 2 Pb 3.27
Pb 0.0000 0.0000 0.0000  6 Te 3.24-3.27
Te 0.2551 0.5102 0.2653  3 Ho 3.10, 3 Pb 3.24
Pb 0.0000 0.5000 0.0000  6 Te 3.24-3.27

---

No. 6
DFT (PBE) results for a relaxed HoThAgPb crystal.

## Properties
Energy of formation in eV per formula unit: -0.9

a b c (Å): 5.3576 5.3576 5.3576
angles (deg): 60.00 60.00 60.00
Last column: nearest neighbours and their distance in Å.
Fractional coordinates of all 4 atoms:
Pb 0.7500 0.7500 0.7500  4 Th 3.28, 4 Ho 3.28
Ho 0.5000 0.5000 0.5000  4 Pb 3.28, 4 Ag 3.28
Ag 0.2500 0.2500 0.2500  4 Ho 3.28, 4 Th 3.28
Th 0.0000 0.0000 0.0000  4 Ag 3.28, 4 Pb 3.28

---

No. 7
DFT (PBE) results for a relaxed HoZnAgPb crystal.

## Properties
Energy of formation in eV per formula unit: -0.7

a b c (Å): 5.0297 5.0297 5.0297
angles (deg): 60.00 60.00 60.00
Last column: nearest neighbours and their distance in Å.
Fractional coordinates of all 4 atoms:
Ag 0.2500 0.2500 0.2500  4 Ho 3.08, 4 Pb 3.08
Zn 0.7500 0.7500 0.7500  4 Ho 3.08, 4 Pb 3.08
Ho 0.5000 0.5000 0.5000  4 Zn 3.08, 4 Ag 3.08
Pb 0.0000 0.0000 0.0000  4 Ag 3.08, 4 Zn 3.08

---

No. 8
DFT (PBE) results for a relaxed Ho3AgPd2 crystal.

## Properties
ΔE to the lowest computed polymorph in meV per atom: 0.0
Energy of formation in eV per formula unit: -4.3

a b c (Å): 3.5449 3.5449 10.5690
angles (deg): 90.00 90.00 90.00
Last column: nearest neighbours and their distance in Å.
Fractional coordinates of all 6 atoms:
Ho 0.0000 0.0000 0.3231  4 Pd 3.02, 4 Ag 3.13
Pd 0.5000 0.5000 0.8367  8 Ho 3.02-3.04
Ho 0.0000 0.0000 0.0000  8 Pd 3.04
Pd 0.5000 0.5000 0.1633  8 Ho 3.02-3.04
Ag 0.5000 0.5000 0.5000  8 Ho 3.13
Ho 0.0000 0.0000 0.6769  4 Pd 3.02, 4 Ag 3.13

---

No. 9
DFT (PBE) results for a relaxed Ho2AgPd4 crystal.

## Properties
Energy of formation in eV per formula unit: -4.4

a b c (Å): 4.0004 4.0004 9.5349
angles (deg): 102.11 102.11 90.00
Last column: nearest neighbours and their distance in Å.
Fractional coordinates of all 7 atoms:
Ho 0.6210 0.6210 0.2421  8 Pd 2.86-3.08
Pd 0.2500 0.7500 0.5000  8 Pd 2.76-2.83, 4 Ho 3.08
Ho 0.3790 0.3790 0.7579  8 Pd 2.86-3.08
Pd 0.1457 0.1457 0.2913  1 Ag 2.65, 4 Pd 2.76, 4 Ho 2.86
Ag 0.0000 0.0000 0.0000  2 Pd 2.65
Pd 0.7500 0.2500 0.5000  8 Pd 2.76-2.83, 4 Ho 3.08
Pd 0.8543 0.8543 0.7087  1 Ag 2.65, 4 Pd 2.76, 4 Ho 2.86

---

No. 10
DFT (PBE) results for a relaxed HoAgPd3 crystal.

## Properties
ΔE to the lowest computed polymorph in meV per atom: 180.3
Energy of formation in eV per formula unit: -1.6

a b c (Å): 5.2975 6.5911 6.5911
angles (deg): 120.00 90.00 90.00
Last column: nearest neighbours and their distance in Å.
Fractional coordinates of all 10 atoms:
Ag 0.0000 0.0000 0.0000  6 Pd 2.65, 2 Ag 2.65
Pd 0.2500 0.4016 0.2009  2 Pd 2.62, 2 Ag 2.65
Pd 0.7500 0.5984 0.7991  2 Pd 2.62, 2 Ag 2.65
Ho 0.7500 0.6665 0.3335  12 Pd 3.05-3.32
Ag 0.5000 0.0000 0.0000  6 Pd 2.65, 2 Ag 2.65
Pd 0.7500 0.2009 0.7991  2 Pd 2.62, 2 Ag 2.65
Pd 0.2500 0.7991 0.5984  2 Pd 2.62, 2 Ag 2.65
Ho 0.2500 0.3335 0.6665  12 Pd 3.05-3.32
Pd 0.7500 0.2009 0.4016  2 Pd 2.62, 2 Ag 2.65
Pd 0.2500 0.7991 0.2009  2 Pd 2.62, 2 Ag 2.65

---

No. 11
DFT (PBE) results for a relaxed Ho4AgPd crystal.

## Properties
ΔE to the lowest computed polymorph in meV per atom: 0.0
Energy of formation in eV per formula unit: -2.6

a b c (Å): 9.5377 9.5377 9.5377
angles (deg): 60.00 60.00 60.00
Last column: nearest neighbours and their distance in Å.
Fractional coordinates of all 24 atoms:
Ag 0.5027 0.1658 0.1658  9 Ho 3.17-3.46, 3 Ag 3.21
Ho 0.5618 0.9382 0.5618  2 Pd 2.85
Pd 0.6036 0.6036 0.1891  6 Ho 2.85-2.86
Ho 0.5618 0.9382 0.9382  2 Pd 2.85
Ho 0.1841 0.1841 0.8159  2 Ag 3.17, 2 Pd 3.48, 6 Ho 3.48-3.51
Ag 0.1658 0.5027 0.1658  9 Ho 3.17-3.46, 3 Ag 3.21
Ho 0.8159 0.1841 0.1841  2 Ag 3.17, 2 Pd 3.48, 6 Ho 3.48-3.51
Ho 0.9382 0.9382 0.5618  2 Pd 2.85
Ho 0.1841 0.8159 0.1841  2 Ag 3.17, 2 Pd 3.48, 6 Ho 3.48-3.51
Ag 0.1658 0.1658 0.1658  9 Ho 3.17-3.46, 3 Ag 3.21
Pd 0.6036 0.6036 0.6036  6 Ho 2.85-2.86
Ho 0.1841 0.8159 0.8159  2 Ag 3.17, 2 Pd 3.48, 6 Ho 3.48-3.51
Ho 0.3917 0.3917 0.3917  3 Pd 2.86
Pd 0.6036 0.1891 0.6036  6 Ho 2.85-2.86
Ho 0.5618 0.5618 0.9382  2 Pd 2.85
Ho 0.8159 0.1841 0.8159  2 Ag 3.17, 2 Pd 3.48, 6 Ho 3.48-3.51
Ho 0.3917 0.8250 0.3917  3 Pd 2.86
Ho 0.8250 0.3917 0.3917  3 Pd 2.86
Ho 0.8159 0.8159 0.1841  2 Ag 3.17, 2 Pd 3.48, 6 Ho 3.48-3.51
Ho 0.3917 0.3917 0.8250  3 Pd 2.86
Ho 0.9382 0.5618 0.5618  2 Pd 2.85
Ag 0.1658 0.1658 0.5027  9 Ho 3.17-3.46, 3 Ag 3.21
Ho 0.9382 0.5618 0.9382  2 Pd 2.85
Pd 0.1891 0.6036 0.6036  6 Ho 2.85-2.86

---

No. 12
DFT (PBE) results for a relaxed HoAgPd6 crystal.

## Properties
ΔE to the lowest computed polymorph in meV per atom: 0.0
Energy of formation in eV per formula unit: -3.5

a b c (Å): 4.0522 4.0522 8.1593
angles (deg): 90.00 90.00 90.00
Last column: nearest neighbours and their distance in Å.
Fractional coordinates of all 8 atoms:
Pd 0.0000 0.5000 0.2547  8 Pd 2.85-2.90, 2 Ag 2.85, 2 Ho 2.90
Ho 0.0000 0.0000 0.0000  12 Pd 2.87-2.90
Pd 0.0000 0.5000 0.7453  2 Ag 2.85, 8 Pd 2.85-2.90, 2 Ho 2.90
Pd 0.5000 0.5000 0.0000  4 Ho 2.87, 8 Pd 2.90
Pd 0.5000 0.5000 0.5000  8 Pd 2.85, 4 Ag 2.87
Pd 0.5000 0.0000 0.7453  8 Pd 2.85-2.90, 2 Ag 2.85, 2 Ho 2.90
Ag 0.0000 0.0000 0.5000  12 Pd 2.85-2.87
Pd 0.5000 0.0000 0.2547  8 Pd 2.85-2.90, 2 Ag 2.85, 2 Ho 2.90